VASP calculation (PBE) on a geometry-optimized Na2UO4 structure.

Geometry as extended XYZ:
```
7
Lattice="3.398 -4.937 0.000 3.398 4.937 0.000 0.000 0.000 3.506" Properties=species:S:1:pos:R:3 pbc="T T T"
Na 1.699 2.469 0.000
Na 1.699 -2.469 0.000
U 0.000 0.000 1.753
O 1.299 0.000 0.000
O 3.398 2.978 1.753
O 3.398 -2.978 1.753
O 5.497 0.000 0.000
```

## Properties
Fermi-level density of states: 0.000 states/eV/atom
ΔE_f (raw): -18.150 eV/f.u.
magnetization: 0.000 μB per atom